A plane-wave DFT calculation with GGA-PBE was carried out for a relaxed SrIrBr2 crystal.

Values from the calculation:
Energy relative to the elements, uncorrected   -0.133 eV/atom
Total magnetic moment   5.0 μB per cell

Lattice parameters (Å, degrees): 7.281 7.281 7.281 90.00 90.00 90.00
Space group Fm-3m (No. 225)
Unique sites:
Sr  0.000  0.000  0.000 [4 per cell]
Ir  0.000  0.000  0.500 [4 per cell]
Br  0.250  0.250  0.250 [8 per cell]


A plane-wave DFT calculation with GGA-PBE was carried out for a relaxed SrIrBr2 crystal.

Values from the calculation:
Energy relative to the elements, uncorrected   -0.537 eV/atom
Total magnetic moment   0.0 μB per cell

Lattice parameters (Å, degrees): 4.2233 4.2233 23.6060 90.00 90.00 120.00
Space group R3m (No. 160, hexagonal axes)
Unique sites:
Sr  0.0000  0.0000  0.0000 [3 per cell]
Ir  0.0000  0.0000  0.2424 [3 per cell]
Br  0.0000  0.0000  0.5572 [3 per cell]
Br  0.0000  0.0000  0.7431 [3 per cell]


A plane-wave DFT calculation with GGA-PBE was carried out for a relaxed SrIr2Br crystal.

Values from the calculation:
Energy relative to the elements, uncorrected   0.870 eV/atom
Total magnetic moment   0.0 μB per cell

Lattice parameters (Å, degrees): 3.591 3.591 6.449 90.00 90.00 90.00
Space group P4/mmm (No. 123)
Unique sites:
Sr  0.000  0.000  0.000 [1 per cell]
Ir  0.500  0.500  0.292 [2 per cell]
Br  0.000  0.000  0.500 [1 per cell]


A plane-wave DFT calculation with GGA-PBE was carried out for a relaxed SrIrBr2 crystal.

Values from the calculation:
Energy relative to the elements, uncorrected   -0.227 eV/atom
Total magnetic moment   3.0 μB per cell

Lattice parameters (Å, degrees): 4.9967 4.9967 21.4502 90.00 90.00 120.00
Space group R-3m (No. 166, hexagonal axes)
Unique sites:
Sr  0.0000  0.0000  0.0000 [3 per cell]
Ir  0.0000  0.0000  0.5000 [3 per cell]
Br  0.0000  0.0000  0.3883 [6 per cell]


A plane-wave DFT calculation with GGA-PBE was carried out for a relaxed Sr5IrBr5 crystal.

Values from the calculation:
Energy relative to the elements, uncorrected   -1.469 eV/atom
Total magnetic moment   1.4 μB per cell

Lattice parameters (Å, degrees): 15.105 6.185 9.056 90.00 107.76 90.00
Space group C2/m (No. 12)
Unique sites:
Sr  0.000  0.000  0.000 [2 per cell]
Sr  0.136  0.500  0.841 [4 per cell]
Sr  0.144  0.500  0.304 [4 per cell]
Ir  0.000  0.500  0.000 [2 per cell]
Br  0.000  0.500  0.500 [2 per cell]
Br  0.189  0.000  0.850 [4 per cell]
Br  0.207  0.000  0.345 [4 per cell]


A plane-wave DFT calculation with GGA-PBE was carried out for a relaxed SrIrBr2 crystal.

Values from the calculation:
Energy relative to the elements, uncorrected   -0.439 eV/atom
Total magnetic moment   0.0 μB per cell

Lattice parameters (Å, degrees): 3.586 4.015 15.908 90.00 90.00 90.00
Space group Imm2 (No. 44)
Unique sites:
Sr  0.000  0.000  0.000 [2 per cell]
Ir  0.000  0.500  0.346 [2 per cell]
Br  0.000  0.000  0.596 [2 per cell]
Br  0.000  0.500  0.835 [2 per cell]


A plane-wave DFT calculation with GGA-PBE was carried out for a relaxed SrIrBr crystal.

Values from the calculation:
Energy relative to the elements, uncorrected   -0.258 eV/atom
Total magnetic moment   0.0 μB per cell

Lattice parameters (Å, degrees): 6.153 4.651 11.412 90.00 90.00 90.00
Space group Pnma (No. 62)
Unique sites:
Sr  0.245  0.250  0.107 [4 per cell]
Ir  0.237  0.250  0.387 [4 per cell]
Br  0.195  0.250  0.836 [4 per cell]


A plane-wave DFT calculation with GGA-PBE was carried out for a relaxed SrIr2Br crystal.

Values from the calculation:
Energy relative to the elements, uncorrected   0.250 eV/atom
Total magnetic moment   0.0 μB per cell

Lattice parameters (Å, degrees): 3.852 3.852 6.140 90.00 90.00 90.00
Space group P4/mmm (No. 123)
Unique sites:
Sr  0.000  0.000  0.000 [1 per cell]
Ir  0.000  0.500  0.500 [2 per cell]
Br  0.500  0.500  0.000 [1 per cell]


A plane-wave DFT calculation with GGA-PBE was carried out for a relaxed SrIrBr crystal.

Values from the calculation:
Energy relative to the elements, uncorrected   -0.078 eV/atom
Total magnetic moment   0.0 μB per cell

Lattice parameters (Å, degrees): 5.900 9.002 5.770 90.00 90.00 90.00
Space group Imma (No. 74)
Unique sites:
Sr  0.000  0.000  0.000 [4 per cell]
Ir  0.000  0.250  0.357 [4 per cell]
Br  0.250  0.250  0.750 [4 per cell]


A plane-wave DFT calculation with GGA-PBE was carried out for a relaxed SrIrBr2 crystal.

Values from the calculation:
Energy relative to the elements, uncorrected   -0.307 eV/atom
Total magnetic moment   0.0 μB per cell

Lattice parameters (Å, degrees): 5.185 5.185 16.813 90.00 90.00 90.00
Space group I-42d (No. 122)
Unique sites:
Sr  0.000  0.000  0.000 [4 per cell]
Ir  0.000  0.000  0.500 [4 per cell]
Br  0.180  0.250  0.625 [8 per cell]


A plane-wave DFT calculation with GGA-PBE was carried out for a relaxed SrIrBr6 crystal.

Values from the calculation:
Energy relative to the elements, uncorrected   -0.837 eV/atom
Total magnetic moment   0.0 μB per cell

Lattice parameters (Å, degrees): 6.833 6.839 7.339 90.03 117.71 119.97
Space group P-1 (No. 2)
Unique sites:
Sr  0.000  0.000  0.000 [1 per cell]
Ir  0.000  0.500  0.500 [1 per cell]
Br  0.170  0.472  0.272 [2 per cell]
Br  0.200  0.302  0.728 [2 per cell]
Br  0.426  0.898  0.728 [2 per cell]


A plane-wave DFT calculation with GGA-PBE was carried out for a relaxed SrIr2Br crystal.

Values from the calculation:
Energy relative to the elements, uncorrected   0.254 eV/atom
Total magnetic moment   0.0 μB per cell

Lattice parameters (Å, degrees): 3.859 3.859 12.231 90.00 90.00 90.00
Space group I4/mmm (No. 139)
Unique sites:
Sr  0.000  0.000  0.000 [2 per cell]
Ir  0.000  0.500  0.250 [4 per cell]
Br  0.000  0.000  0.500 [2 per cell]


A plane-wave DFT calculation with GGA-PBE was carried out for a relaxed SrIrBr crystal.

Values from the calculation:
Energy relative to the elements, uncorrected   0.043 eV/atom
Total magnetic moment   0.0 μB per cell

Lattice parameters (Å, degrees): 4.142 4.170 10.125 90.00 90.00 90.00
Space group Imm2 (No. 44)
Unique sites:
Sr  0.000  0.000  0.000 [2 per cell]
Ir  0.000  0.000  0.575 [2 per cell]
Br  0.000  0.000  0.337 [2 per cell]


A plane-wave DFT calculation with GGA-PBE was carried out for a relaxed SrIr2Br crystal.

Values from the calculation:
Energy relative to the elements, uncorrected   -0.178 eV/atom
Total magnetic moment   0.0 μB per cell

Lattice parameters (Å, degrees): 3.464 3.548 8.142 90.00 93.90 90.00
Space group Pm (No. 6)
Unique sites:
Sr  0.000  0.000  0.000 [1 per cell]
Ir  0.453  0.500  0.712 [1 per cell]
Ir  0.941  0.000  0.631 [1 per cell]
Br  0.535  0.500  0.220 [1 per cell]


A plane-wave DFT calculation with GGA-PBE was carried out for a relaxed SrIrBr2 crystal.

Values from the calculation:
Energy relative to the elements, uncorrected   0.171 eV/atom
Total magnetic moment   4.7 μB per cell

Lattice parameters (Å, degrees): 7.406 7.406 7.406 90.00 90.00 90.00
Space group F-43m (No. 216)
Unique sites:
Sr  0.000  0.000  0.000 [4 per cell]
Ir  0.250  0.250  0.750 [4 per cell]
Br  0.000  0.000  0.500 [4 per cell]
Br  0.250  0.250  0.250 [4 per cell]


A plane-wave DFT calculation with GGA-PBE was carried out for a relaxed SrIrBr2 crystal.

Values from the calculation:
Energy relative to the elements, uncorrected   -0.482 eV/atom
Total magnetic moment   0.0 μB per cell

Lattice parameters (Å, degrees): 11.261 4.008 5.277 90.00 94.24 90.00
Space group Cm (No. 8)
Unique sites:
Sr  0.000  0.000  0.000 [2 per cell]
Ir  0.203  0.500  0.852 [2 per cell]
Br  0.031  0.500  0.515 [2 per cell]
Br  0.278  0.000  0.076 [2 per cell]


A plane-wave DFT calculation with GGA-PBE was carried out for a relaxed SrIr2Br crystal.

Values from the calculation:
Energy relative to the elements, uncorrected   0.761 eV/atom
Total magnetic moment   0.0 μB per cell

Lattice parameters (Å, degrees): 3.143 3.143 7.992 90.00 90.00 90.00
Space group P4/mmm (No. 123)
Unique sites:
Sr  0.000  0.000  0.000 [1 per cell]
Ir  0.500  0.500  0.293 [2 per cell]
Br  0.000  0.000  0.500 [1 per cell]


A plane-wave DFT calculation with GGA-PBE was carried out for a relaxed SrIrBr crystal.

Values from the calculation:
Energy relative to the elements, uncorrected   0.262 eV/atom
Total magnetic moment   0.0 μB per cell

Lattice parameters (Å, degrees): 5.1516 5.1516 9.3792 90.00 90.00 120.00
Space group P6_3/mmc (No. 194)
Unique sites:
Sr  0.3333  0.6667  0.2500 [2 per cell]
Ir  0.0000  0.0000  0.0000 [2 per cell]
Br  0.0000  0.0000  0.2500 [2 per cell]


A plane-wave DFT calculation with GGA-PBE was carried out for a relaxed SrIr2Br crystal.

Values from the calculation:
Energy relative to the elements, uncorrected   1.012 eV/atom
Total magnetic moment   6.5 μB per cell

Lattice parameters (Å, degrees): 6.898 6.898 6.898 90.00 90.00 90.00
Space group Fm-3m (No. 225)
Unique sites:
Sr  0.000  0.000  0.000 [4 per cell]
Ir  0.250  0.250  0.250 [8 per cell]
Br  0.000  0.000  0.500 [4 per cell]


A plane-wave DFT calculation with GGA-PBE was carried out for a relaxed SrIrBr crystal.

Values from the calculation:
Energy relative to the elements, uncorrected   0.114 eV/atom
Total magnetic moment   1.5 μB per cell

Lattice parameters (Å, degrees): 3.419 3.419 12.466 90.00 90.00 90.00
Space group I4mm (No. 107)
Unique sites:
Sr  0.000  0.000  0.000 [2 per cell]
Ir  0.000  0.000  0.663 [2 per cell]
Br  0.000  0.000  0.334 [2 per cell]